Compound: Dy4AuC
Source: Alexandria via LeMat-Bulk
Functional: PBE
Structure: optimized geometry

Summary:
electronic total energy	-5.494	eV per atom
DFT formation energy	-0.343	eV/atom
space group	C2/c, No. 15
DOS(E_F)	0.97	states/eV/atom

Cell and atoms, written as POSCAR:
```
Dy4AuC
1.0
-2.6007 -4.0553 4.0627
6.3922 1.7268 2.8330
-4.7961 6.3895 -0.0887
Dy Au C
8 2 2
direct
0.2894 0.9389 0.5986 Dy
0.0128 0.8147 0.0926 Dy
0.1907 0.3403 0.4014 Dy
0.4202 0.7221 0.9074 Dy
0.7106 0.0611 0.4014 Dy
0.8093 0.6597 0.5986 Dy
0.9872 0.1853 0.9074 Dy
0.5798 0.2779 0.0926 Dy
0.3723 0.6223 0.2445 Au
0.6277 0.3777 0.7555 Au
0.8138 0.0638 0.1275 C
0.1862 0.9362 0.8725 C
```

=====

Compound: DyAuC
Source: Alexandria via LeMat-Bulk
Functional: PBE
Structure: optimized geometry

Summary:
electronic total energy	-6.072	eV per atom
DFT formation energy	-0.371	eV/atom
space group	C2/m, No. 12
DOS(E_F)	0.41	states/eV/atom

Cell and atoms, written as POSCAR:
```
DyAuC
1.0
-1.7591 -2.6072 2.1110
4.0562 -1.4598 -1.8214
0.4679 4.5905 6.0595
Dy Au C
2 2 2
direct
0.0740 0.1480 0.8097 Dy
0.9260 0.8520 0.1903 Dy
0.3192 0.6384 0.4213 Au
0.6808 0.3616 0.5787 Au
0.5882 0.1765 0.0347 C
0.4118 0.8235 0.9653 C
```

=====

Compound: Dy3AuC
Source: Alexandria via LeMat-Bulk
Functional: PBE
Structure: optimized geometry

Summary:
electronic total energy	-5.666	eV per atom
DFT formation energy	-0.404	eV/atom
space group	Pm-3m, No. 221
energy above the lowest structure with this stoichiometry	110	meV per atom
DOS(E_F)	1.33	states/eV/atom

Cell and atoms, written as POSCAR:
```
Dy3AuC
1.0
-2.3872 -2.4976 -3.4044
3.0358 -3.7334 0.6102
-2.9346 -1.8305 3.4006
C Au Dy
1 1 3
direct
0.0000 0.0000 0.0000 C
0.5000 0.5000 0.5000 Au
0.0000 0.5000 0.0000 Dy
0.0000 0.0000 0.5000 Dy
0.5000 0.0000 0.0000 Dy
```

=====

Compound: Dy6Au2C
Source: Alexandria via LeMat-Bulk
Functional: PBE
Structure: optimized geometry

Summary:
electronic total energy	-5.335	eV per atom
DFT formation energy	-0.514	eV/atom
space group	P2_1/c, No. 14
DOS(E_F)	1.10	states/eV/atom

Cell and atoms, written as POSCAR:
```
Dy6Au2C
1.0
6.7055 0.0000 -0.0587
0.0000 7.0331 0.0000
0.2405 0.0000 9.6837
Dy Au C
12 4 2
direct
0.1032 0.0227 0.2582 Dy
0.1918 0.2884 0.5520 Dy
0.2072 0.3039 0.9479 Dy
0.2928 0.8039 0.5521 Dy
0.3082 0.7884 0.9480 Dy
0.3968 0.5227 0.2418 Dy
0.8968 0.9773 0.7418 Dy
0.8082 0.7116 0.4480 Dy
0.7928 0.6961 0.0521 Dy
0.7072 0.1961 0.4479 Dy
0.6918 0.2116 0.0520 Dy
0.6032 0.4773 0.7582 Dy
0.0293 0.5695 0.7510 Au
0.4707 0.0695 0.7490 Au
0.5293 0.9305 0.2510 Au
0.9707 0.4305 0.2490 Au
0.5000 0.5000 0.0000 C
0.0000 0.0000 0.5000 C
```

=====

Compound: Dy12Au3C5
Source: Alexandria via LeMat-Bulk
Functional: PBE
Structure: optimized geometry

Summary:
electronic total energy	-5.842	eV per atom
DFT formation energy	-0.284	eV/atom
space group	Ia-3d, No. 230
DOS(E_F)	0.83	states/eV/atom

Cell and atoms, written as POSCAR:
```
Dy12Au3C5
1.0
13.5479 0.0000 0.0000
-4.5160 12.7731 0.0000
-4.5160 -6.3865 11.0618
C Au Dy
20 12 48
direct
0.1250 0.3750 0.2500 C
0.0000 0.5000 0.0000 C
0.0000 0.0000 0.0000 C
0.3750 0.2500 0.1250 C
0.5000 0.0000 0.5000 C
0.5000 0.5000 0.0000 C
0.1250 0.7500 0.3750 C
0.7500 0.1250 0.8750 C
0.7500 0.6250 0.3750 C
0.3750 0.1250 0.7500 C
0.6250 0.8750 0.2500 C
0.5000 0.5000 0.5000 C
0.5000 0.0000 0.0000 C
0.0000 0.0000 0.5000 C
0.2500 0.3750 0.6250 C
0.2500 0.8750 0.1250 C
0.0000 0.5000 0.5000 C
0.8750 0.2500 0.6250 C
0.6250 0.7500 0.8750 C
0.8750 0.6250 0.7500 C
0.7500 0.3750 0.1250 Au
0.8750 0.7500 0.1250 Au
0.3750 0.7500 0.6250 Au
0.2500 0.1250 0.3750 Au
0.8750 0.1250 0.2500 Au
0.3750 0.6250 0.2500 Au
0.6250 0.3750 0.7500 Au
0.1250 0.8750 0.7500 Au
0.7500 0.8750 0.6250 Au
0.6250 0.2500 0.3750 Au
0.1250 0.2500 0.8750 Au
0.2500 0.6250 0.8750 Au
0.7032 0.1166 0.0212 Dy
0.3180 0.5212 0.4046 Dy
0.9788 0.3834 0.2968 Dy
0.5212 0.2032 0.1166 Dy
0.5866 0.7032 0.6820 Dy
0.9788 0.5954 0.1820 Dy
0.3180 0.7968 0.4134 Dy
0.0954 0.9134 0.1166 Dy
0.5954 0.9788 0.6820 Dy
0.7032 0.5866 0.1820 Dy
0.7968 0.4788 0.3834 Dy
0.8180 0.9046 0.0212 Dy
0.1166 0.7032 0.5212 Dy
0.3834 0.4046 0.0866 Dy
0.0866 0.9046 0.3834 Dy
0.4134 0.1166 0.5954 Dy
0.0866 0.1820 0.2032 Dy
0.4788 0.6820 0.0954 Dy
0.8180 0.9134 0.2968 Dy
0.1166 0.4134 0.0954 Dy
0.3834 0.9788 0.7968 Dy
0.5954 0.6166 0.4134 Dy
0.9046 0.8180 0.5212 Dy
0.7968 0.3180 0.9134 Dy
0.4046 0.3834 0.5866 Dy
0.0954 0.1820 0.4788 Dy
0.2032 0.6820 0.0866 Dy
0.1820 0.0866 0.7032 Dy
0.6166 0.0212 0.2032 Dy
0.8834 0.5866 0.9046 Dy
0.5212 0.3180 0.9046 Dy
0.5866 0.8834 0.4046 Dy
0.9134 0.8180 0.7968 Dy
0.9134 0.0954 0.6166 Dy
0.8834 0.2968 0.4788 Dy
0.1820 0.0954 0.9788 Dy
0.6166 0.5954 0.9134 Dy
0.4046 0.0212 0.3180 Dy
0.2968 0.4134 0.8180 Dy
0.2032 0.5212 0.6166 Dy
0.9046 0.0866 0.8834 Dy
0.6820 0.2032 0.5866 Dy
0.4788 0.7968 0.8834 Dy
0.0212 0.4046 0.8180 Dy
0.4134 0.2968 0.3180 Dy
0.0212 0.6166 0.7032 Dy
0.6820 0.4788 0.5954 Dy
0.2968 0.8834 0.9788 Dy
```

=====

Compound: Dy2OsAuC
Source: Alexandria via LeMat-Bulk
Functional: PBE
Structure: optimized geometry

Summary:
electronic total energy	-7.131	eV per atom
DFT formation energy	-0.544	eV/atom
space group	P4/mmm, No. 123
DOS(E_F)	0.36	states/eV/atom

Cell and atoms, written as POSCAR:
```
Dy2OsAuC
1.0
3.8809 0.0000 0.0000
0.0000 4.9947 0.0000
0.0000 0.0000 4.9947
Dy Os Au C
2 1 1 1
direct
0.0000 0.0000 0.5000 Dy
0.0000 0.5000 0.0000 Dy
0.5000 0.0000 0.0000 Os
0.5000 0.5000 0.5000 Au
0.0000 0.0000 0.0000 C
```